BeBiAsW | GGA-PBE | optimized geometry

Properties
ΔE to the lowest computed polymorph: 0.0 meV/atom
total magnetic moment: 0.0065 μB/atom
calculated total energy: -5.37 eV per atom

a = 4.6601 Å, b = 4.6601 Å, c = 4.6601 Å
α = 60.00°, β = 60.00°, γ = 60.00°
Last column: nearest neighbours and their distance in Å.
Fractional coordinates of all 4 atoms:
As: 0.0000 0.0000 0.0000  4 Be 2.85, 4 W 2.85
W: 0.2500 0.2500 0.2500  4 As 2.85, 4 Bi 2.85
Be: 0.7500 0.7500 0.7500  4 As 2.85, 4 Bi 2.85
Bi: 0.5000 0.5000 0.5000  4 W 2.85, 4 Be 2.85